[1]
Computed, not measured: In3IrF after structural relaxation at the GGA-PBE level of DFT.

Structure (extended XYZ):
```
5
Lattice="5.149 0.000 0.000 0.000 5.149 0.000 0.000 0.000 5.149" Properties=species:S:1:pos:R:3 pbc="T T T"
F 2.574 2.574 2.574
In 0.000 2.574 0.000
Ir 0.000 0.000 0.000
In 0.000 0.000 2.574
In 2.574 0.000 0.000
```

DOS at the Fermi energy = 0.36 states/eV/atom
Magnetic moment = 0.000 μB/atom
DFT total energy = -0.3224 Ry/atom



[2]
Computed, not measured: KInIr2F after structural relaxation at the GGA-PBE level of DFT.

Structure (extended XYZ):
```
5
Lattice="4.859 0.000 0.000 0.000 6.836 0.000 0.000 0.000 4.859" Properties=species:S:1:pos:R:3 pbc="T T T"
F 2.429 3.418 2.429
K 0.000 0.000 0.000
Ir 2.429 0.000 0.000
In 0.000 3.418 0.000
Ir 0.000 0.000 2.429
```

DOS at the Fermi energy = 1.14 states/eV/atom
Magnetic moment = 0.528 μB/atom
DFT total energy = -0.1889 Ry/atom



[3]
Computed, not measured: NbIn2IrF after structural relaxation at the GGA-PBE level of DFT.

Structure (extended XYZ):
```
5
Lattice="5.828 0.000 0.000 0.000 4.697 0.000 0.000 0.000 5.828" Properties=species:S:1:pos:R:3 pbc="T T T"
In 2.914 0.000 0.000
Ir 0.000 2.349 0.000
F 2.914 2.349 2.914
In 0.000 0.000 2.914
Nb 0.000 0.000 0.000
```

DOS at the Fermi energy = 1.10 states/eV/atom
Magnetic moment = 0.105 μB/atom
DFT total energy = -0.3425 Ry/atom



[4]
Computed, not measured: InIrRhF2 after structural relaxation at the GGA-PBE level of DFT.

Structure (extended XYZ):
```
5
Lattice="-3.091 -0.095 -2.497 0.633 -5.691 -0.568 -2.460 -0.580 3.068" Properties=species:S:1:pos:R:3 pbc="T T T"
Ir 0.000 0.000 0.000
In 0.317 -2.845 -0.284
F -1.230 -0.290 1.534
Rh -2.459 -3.183 0.001
F -1.546 -0.047 -1.248
```

DOS at the Fermi energy = 0.64 states/eV/atom
Magnetic moment = 0.163 μB/atom
DFT total energy = -0.3402 Ry/atom



Q: Which formula does entry 4 have?
A: InIrRhF2